VASP calculation (PBE) on an optimized crystal structure of TlRe2Cl.

Values from the calculation:
Relative energy among the computed polymorphs (eV/atom): 1.456
Formation energy without anion corrections (meV/atom): 1676
Calculated total energy (eV per atom): -5.60
Crystal system: cubic

a = 6.490 Å, b = 6.490 Å, c = 6.490 Å
α = 90.00°, β = 90.00°, γ = 90.00°
Space group Fm-3m (No. 225)
Asymmetric unit:
Tl (0.000, 0.000, 0.000)
Re (0.250, 0.250, 0.250)
Cl (0.000, 0.000, 0.500)

***

VASP calculation (PBE) on an optimized crystal structure of Pr2TlPd4.

Values from the calculation:
Calculated total energy (eV per atom): -4.76
Crystal system: tetragonal
Energy relative to the elements (meV per atom): -92.5

a = 5.049 Å, b = 5.049 Å, c = 14.711 Å
α = 90.00°, β = 90.00°, γ = 90.00°
Space group I4/mmm (No. 139)
Asymmetric unit:
Pr (0.000, 0.000, 0.132)
Tl (0.000, 0.000, 0.500)
Pd (0.000, 0.000, 0.315)
Pd (0.000, 0.500, 0.000)

***

VASP calculation (PBE) on an optimized crystal structure of Ac4Mg3Cu.

Values from the calculation:
Calculated total energy (eV per atom): -3.23
Crystal system: tetragonal
Energy relative to the elements (meV per atom): -66.7

a = 4.017 Å, b = 4.017 Å, c = 16.305 Å
α = 90.00°, β = 90.00°, γ = 90.00°
Space group P4/mmm (No. 123)
Asymmetric unit:
Ac (0.000, 0.000, 0.111)
Ac (0.000, 0.000, 0.370)
Mg (0.500, 0.500, 0.243)
Mg (0.500, 0.500, 0.500)
Cu (0.500, 0.500, 0.000)

***

VASP calculation (PBE) on an optimized crystal structure of YEr6Tm12.

Values from the calculation:
Relative energy among the computed polymorphs (eV/atom): 0.284
Calculated total energy (eV per atom): -4.15
Crystal system: trigonal
Energy relative to the elements (meV per atom): 451.1

a = 14.8094 Å, b = 14.8094 Å, c = 10.0182 Å
α = 90.00°, β = 90.00°, γ = 120.00°
Space group R-3m (No. 166, hexagonal axes)
Asymmetric unit:
Y (0.0000, 0.0000, 0.0000)
Er (0.0580, 0.5290, 0.2157)
Tm (0.0000, 0.3886, 0.5000)
Tm (0.0742, 0.1483, 0.2802)